Entry 1:
# Tl2CuAs GGA-PBE optimized geometry
data_Tl2CuAs
_cell_length_a 4.444
_cell_length_b 3.637
_cell_length_c 6.165
_cell_angle_alpha 90.00
_cell_angle_beta 108.14
_cell_angle_gamma 90.00
_space_group_name_H-M_alt 'P 1'
_space_group_IT_number 1
_space_group_name_Hall 'P 1'
loop_
_atom_site_label
_atom_site_fract_x
_atom_site_fract_y
_atom_site_fract_z
Tl1 0.048 0.000 0.260
Tl2 0.952 0.000 0.740
Cu1 0.500 0.500 0.500
As1 0.500 0.500 0.000
# E_tot: -3.03 eV per atom
# ΔE_f: 33 kJ/mol of atoms

***

Entry 2:
# AlNiSe GGA-PBE optimized geometry
data_AlNiSe
_cell_length_a 2.967
_cell_length_b 2.967
_cell_length_c 10.759
_cell_angle_alpha 90.00
_cell_angle_beta 90.00
_cell_angle_gamma 90.00
_space_group_name_H-M_alt 'P 1'
_space_group_IT_number 1
_space_group_name_Hall 'P 1'
loop_
_atom_site_label
_atom_site_fract_x
_atom_site_fract_y
_atom_site_fract_z
Al1 0.000 0.000 0.000
Al2 0.500 0.500 0.500
Ni1 0.000 0.000 0.374
Ni2 0.500 0.500 0.874
Se1 0.000 0.000 0.724
Se2 0.500 0.500 0.224
# E_tot: -4.35 eV per atom
# raw formation energy: -1.8 kJ per mole of atoms

***

Entry 3:
# ZrNbOsSe2 GGA-PBE optimized geometry
data_ZrNbOsSe2
_cell_length_a 4.832
_cell_length_b 4.832
_cell_length_c 5.388
_cell_angle_alpha 90.00
_cell_angle_beta 90.00
_cell_angle_gamma 90.00
_space_group_name_H-M_alt 'P 1'
_space_group_IT_number 1
_space_group_name_Hall 'P 1'
loop_
_atom_site_label
_atom_site_fract_x
_atom_site_fract_y
_atom_site_fract_z
Zr1 0.000 0.000 0.000
Nb1 0.000 0.000 0.500
Os1 0.500 0.500 0.000
Se1 0.000 0.500 0.500
Se2 0.500 0.000 0.500
# E_tot: -6.20 eV per atom
# raw formation energy: 112.0 kJ per mole of atoms

***

Entry 4:
# LaPm5Tl4 GGA-PBE optimized geometry
data_LaPm5Tl4
_cell_length_a 3.653
_cell_length_b 3.653
_cell_length_c 22.710
_cell_angle_alpha 90.00
_cell_angle_beta 90.00
_cell_angle_gamma 90.00
_space_group_name_H-M_alt 'P 1'
_space_group_IT_number 1
_space_group_name_Hall 'P 1'
loop_
_atom_site_label
_atom_site_fract_x
_atom_site_fract_y
_atom_site_fract_z
La1 0.000 0.000 0.000
Pm1 0.500 0.500 0.116
Pm2 0.500 0.500 0.307
Pm3 0.500 0.500 0.500
Pm4 0.500 0.500 0.693
Pm5 0.500 0.500 0.884
Tl1 0.000 0.000 0.210
Tl2 0.000 0.000 0.403
Tl3 0.000 0.000 0.597
Tl4 0.000 0.000 0.790
# E_tot: -4.12 eV per atom
# ΔE_f: -29 kJ/mol of atoms

***

Entry 5:
# TaInRh GGA-PBE optimized geometry
data_TaInRh
_cell_length_a 3.042
_cell_length_b 3.042
_cell_length_c 11.470
_cell_angle_alpha 90.00
_cell_angle_beta 90.00
_cell_angle_gamma 90.00
_space_group_name_H-M_alt 'P 1'
_space_group_IT_number 1
_space_group_name_Hall 'P 1'
loop_
_atom_site_label
_atom_site_fract_x
_atom_site_fract_y
_atom_site_fract_z
Ta1 0.000 0.000 0.000
Ta2 0.500 0.500 0.500
In1 0.000 0.000 0.312
In2 0.500 0.500 0.812
Rh1 0.000 0.000 0.643
Rh2 0.500 0.500 0.143
# E_tot: -7.54 eV per atom
# ΔE_f: -22 kJ/mol of atoms

***

Entry 6:
# AcGdDy GGA-PBE optimized geometry
data_AcGdDy
_cell_length_a 3.757
_cell_length_b 3.757
_cell_length_c 15.326
_cell_angle_alpha 90.00
_cell_angle_beta 90.00
_cell_angle_gamma 90.00
_space_group_name_H-M_alt 'P 1'
_space_group_IT_number 1
_space_group_name_Hall 'P 1'
loop_
_atom_site_label
_atom_site_fract_x
_atom_site_fract_y
_atom_site_fract_z
Ac1 0.000 0.000 0.000
Ac2 0.500 0.500 0.500
Gd1 0.000 0.000 0.325
Gd2 0.500 0.500 0.825
Dy1 0.000 0.000 0.670
Dy2 0.500 0.500 0.170
# E_tot: -7.54 eV per atom
# ΔE_f: 5 kJ/mol of atoms

***

Entry 7:
# CsAg2Rh GGA-PBE optimized geometry
data_CsAg2Rh
_cell_length_a 7.259
_cell_length_b 7.259
_cell_length_c 7.259
_cell_angle_alpha 90.00
_cell_angle_beta 90.00
_cell_angle_gamma 90.00
_space_group_name_H-M_alt 'P 1'
_space_group_IT_number 1
_space_group_name_Hall 'P 1'
loop_
_atom_site_label
_atom_site_fract_x
_atom_site_fract_y
_atom_site_fract_z
Cs1 0.000 0.000 0.000
Cs2 0.000 0.500 0.500
Cs3 0.500 0.000 0.500
Cs4 0.500 0.500 0.000
Ag1 0.250 0.250 0.250
Ag2 0.250 0.250 0.750
Ag3 0.250 0.750 0.250
Ag4 0.250 0.750 0.750
Ag5 0.750 0.250 0.250
Ag6 0.750 0.250 0.750
Ag7 0.750 0.750 0.250
Ag8 0.750 0.750 0.750
Rh1 0.000 0.000 0.500
Rh2 0.000 0.500 0.000
Rh3 0.500 0.000 0.000
Rh4 0.500 0.500 0.500
# E_tot: -2.60 eV per atom
# ΔE_f: 84 kJ/mol of atoms

***

Entry 8:
# Al2SeCl GGA-PBE optimized geometry
data_Al2SeCl
_cell_length_a 4.857
_cell_length_b 4.857
_cell_length_c 3.462
_cell_angle_alpha 90.00
_cell_angle_beta 90.00
_cell_angle_gamma 90.00
_space_group_name_H-M_alt 'P 1'
_space_group_IT_number 1
_space_group_name_Hall 'P 1'
loop_
_atom_site_label
_atom_site_fract_x
_atom_site_fract_y
_atom_site_fract_z
Al1 0.000 0.500 0.000
Al2 0.500 0.000 0.000
Se1 0.000 0.000 0.500
Cl1 0.500 0.500 0.500
# E_tot: -3.30 eV per atom
# raw formation energy: -8.9 kJ per mole of atoms

***

Entry 9:
# TmCu2Ni GGA-PBE optimized geometry
data_TmCu2Ni
_cell_length_a 3.995
_cell_length_b 9.175
_cell_length_c 6.728
_cell_angle_alpha 90.00
_cell_angle_beta 90.00
_cell_angle_gamma 90.00
_space_group_name_H-M_alt 'P 1'
_space_group_IT_number 1
_space_group_name_Hall 'P 1'
loop_
_atom_site_label
_atom_site_fract_x
_atom_site_fract_y
_atom_site_fract_z
Tm1 0.000 0.075 0.250
Tm2 0.000 0.925 0.750
Tm3 0.500 0.425 0.750
Tm4 0.500 0.575 0.250
Cu1 0.000 0.363 0.059
Cu2 0.000 0.363 0.441
Cu3 0.000 0.637 0.559
Cu4 0.000 0.637 0.941
Cu5 0.500 0.137 0.559
Cu6 0.500 0.137 0.941
Cu7 0.500 0.863 0.059
Cu8 0.500 0.863 0.441
Ni1 0.000 0.215 0.750
Ni2 0.000 0.785 0.250
Ni3 0.500 0.285 0.250
Ni4 0.500 0.715 0.750
# E_tot: -4.90 eV per atom
# ΔE_f: -28 kJ/mol of atoms

***

Entry 10:
# Tb2PaIr GGA-PBE optimized geometry
data_Tb2PaIr
_cell_length_a 3.312
_cell_length_b 3.312
_cell_length_c 32.112
_cell_angle_alpha 90.00
_cell_angle_beta 90.00
_cell_angle_gamma 120.00
_space_group_name_H-M_alt 'P 1'
_space_group_IT_number 1
_space_group_name_Hall 'P 1'
loop_
_atom_site_label
_atom_site_fract_x
_atom_site_fract_y
_atom_site_fract_z
Tb1 0.000 0.000 0.102
Tb2 0.000 0.000 0.898
Tb3 0.333 0.667 0.565
Tb4 0.333 0.667 0.768
Tb5 0.667 0.333 0.232
Tb6 0.667 0.333 0.435
Pa1 0.000 0.000 0.000
Pa2 0.333 0.667 0.667
Pa3 0.667 0.333 0.333
Ir1 0.000 0.000 0.500
Ir2 0.333 0.667 0.167
Ir3 0.667 0.333 0.833
# E_tot: -6.79 eV per atom
# ΔE_f: 11 kJ/mol of atoms

***

Entry 11:
# Rb2BiBr6 GGA-PBE optimized geometry
data_Rb2BiBr6
_cell_length_a 7.585
_cell_length_b 7.585
_cell_length_c 14.781
_cell_angle_alpha 90.00
_cell_angle_beta 90.00
_cell_angle_gamma 90.00
_space_group_name_H-M_alt 'P 1'
_space_group_IT_number 1
_space_group_name_Hall 'P 1'
loop_
_atom_site_label
_atom_site_fract_x
_atom_site_fract_y
_atom_site_fract_z
Rb1 0.000 0.000 0.166
Rb2 0.000 0.000 0.834
Rb3 0.500 0.500 0.334
Rb4 0.500 0.500 0.666
Bi1 0.000 0.000 0.500
Bi2 0.500 0.500 0.000
Br1 0.180 0.180 0.362
Br2 0.180 0.180 0.638
Br3 0.238 0.238 0.000
Br4 0.262 0.738 0.500
Br5 0.320 0.680 0.138
Br6 0.320 0.680 0.862
Br7 0.680 0.320 0.138
Br8 0.680 0.320 0.862
Br9 0.738 0.262 0.500
Br10 0.762 0.762 0.000
Br11 0.820 0.820 0.362
Br12 0.820 0.820 0.638
# E_tot: -2.79 eV per atom
# raw formation energy: -99.0 kJ per mole of atoms

***

Entry 12:
# HgBr2 GGA-PBE optimized geometry
data_HgBr2
_cell_length_a 7.103
_cell_length_b 7.103
_cell_length_c 7.103
_cell_angle_alpha 90.00
_cell_angle_beta 90.00
_cell_angle_gamma 90.00
_space_group_name_H-M_alt 'P 1'
_space_group_IT_number 1
_space_group_name_Hall 'P 1'
loop_
_atom_site_label
_atom_site_fract_x
_atom_site_fract_y
_atom_site_fract_z
Hg1 0.000 0.000 0.000
Hg2 0.000 0.500 0.500
Hg3 0.500 0.000 0.500
Hg4 0.500 0.500 0.000
Br1 0.250 0.250 0.250
Br2 0.250 0.250 0.750
Br3 0.250 0.750 0.250
Br4 0.250 0.750 0.750
Br5 0.750 0.250 0.250
Br6 0.750 0.250 0.750
Br7 0.750 0.750 0.250
Br8 0.750 0.750 0.750
# E_tot: -1.34 eV per atom
# raw formation energy: -12.2 kJ per mole of atoms

***

Entry 13:
# Re3SCl GGA-PBE optimized geometry
data_Re3SCl
_cell_length_a 4.431
_cell_length_b 4.431
_cell_length_c 4.431
_cell_angle_alpha 90.00
_cell_angle_beta 90.00
_cell_angle_gamma 90.00
_space_group_name_H-M_alt 'P 1'
_space_group_IT_number 1
_space_group_name_Hall 'P 1'
loop_
_atom_site_label
_atom_site_fract_x
_atom_site_fract_y
_atom_site_fract_z
Re1 0.000 0.000 0.500
Re2 0.000 0.500 0.000
Re3 0.500 0.000 0.000
S1 0.000 0.000 0.000
Cl1 0.500 0.500 0.500
# E_tot: -6.95 eV per atom
# raw formation energy: 165.2 kJ per mole of atoms

***

Entry 14:
# Nd2DyTm3As6 GGA-PBE optimized geometry
data_Nd2DyTm3As6
_cell_length_a 9.262
_cell_length_b 9.262
_cell_length_c 8.283
_cell_angle_alpha 102.85
_cell_angle_beta 102.85
_cell_angle_gamma 25.87
_space_group_name_H-M_alt 'P 1'
_space_group_IT_number 1
_space_group_name_Hall 'P 1'
loop_
_atom_site_label
_atom_site_fract_x
_atom_site_fract_y
_atom_site_fract_z
Nd1 0.166 0.166 0.332
Nd2 0.834 0.834 0.668
Dy1 0.500 0.500 0.000
Tm1 0.167 0.167 0.834
Tm2 0.500 0.500 0.500
Tm3 0.833 0.833 0.166
As1 0.003 0.003 0.750
As2 0.333 0.333 0.925
As3 0.336 0.336 0.409
As4 0.664 0.664 0.591
As5 0.667 0.667 0.075
As6 0.997 0.997 0.250
# E_tot: -6.12 eV per atom
# ΔE_f: -145 kJ/mol of atoms

***

Entry 15:
# NdCuAu GGA-PBE optimized geometry
data_NdCuAu
_cell_length_a 4.494
_cell_length_b 4.494
_cell_length_c 3.783
_cell_angle_alpha 90.00
_cell_angle_beta 90.00
_cell_angle_gamma 120.00
_space_group_name_H-M_alt 'P 1'
_space_group_IT_number 1
_space_group_name_Hall 'P 1'
loop_
_atom_site_label
_atom_site_fract_x
_atom_site_fract_y
_atom_site_fract_z
Nd1 0.000 0.000 0.000
Cu1 0.667 0.333 0.500
Au1 0.333 0.667 0.500
# E_tot: -4.57 eV per atom
# ΔE_f: -51 kJ/mol of atoms

***

Entry 16:
# CeTmAlAu GGA-PBE optimized geometry
data_CeTmAlAu
_cell_length_a 7.302
_cell_length_b 7.302
_cell_length_c 7.302
_cell_angle_alpha 90.00
_cell_angle_beta 90.00
_cell_angle_gamma 90.00
_space_group_name_H-M_alt 'P 1'
_space_group_IT_number 1
_space_group_name_Hall 'P 1'
loop_
_atom_site_label
_atom_site_fract_x
_atom_site_fract_y
_atom_site_fract_z
Ce1 0.000 0.000 0.000
Ce2 0.000 0.500 0.500
Ce3 0.500 0.000 0.500
Ce4 0.500 0.500 0.000
Tm1 0.000 0.000 0.500
Tm2 0.000 0.500 0.000
Tm3 0.500 0.000 0.000
Tm4 0.500 0.500 0.500
Al1 0.250 0.250 0.750
Al2 0.250 0.750 0.250
Al3 0.750 0.250 0.250
Al4 0.750 0.750 0.750
Au1 0.250 0.250 0.250
Au2 0.250 0.750 0.750
Au3 0.750 0.250 0.750
Au4 0.750 0.750 0.250
# E_tot: -4.81 eV per atom
# ΔE_f: -44 kJ/mol of atoms

***

Entry 17:
# Tb9Y2Tm GGA-PBE optimized geometry
data_Tb9Y2Tm
_cell_length_a 5.031
_cell_length_b 5.031
_cell_length_c 15.092
_cell_angle_alpha 90.00
_cell_angle_beta 90.00
_cell_angle_gamma 90.00
_space_group_name_H-M_alt 'P 1'
_space_group_IT_number 1
_space_group_name_Hall 'P 1'
loop_
_atom_site_label
_atom_site_fract_x
_atom_site_fract_y
_atom_site_fract_z
Tb1 0.000 0.000 0.000
Tb2 0.000 0.000 0.333
Tb3 0.000 0.000 0.667
Tb4 0.000 0.500 0.165
Tb5 0.000 0.500 0.500
Tb6 0.000 0.500 0.835
Tb7 0.500 0.000 0.165
Tb8 0.500 0.000 0.500
Tb9 0.500 0.000 0.835
Y1 0.500 0.500 0.333
Y2 0.500 0.500 0.667
Tm1 0.500 0.500 0.000
# E_tot: -4.90 eV per atom
# ΔE_f: 2 kJ/mol of atoms

***

Entry 18:
# LiAc2ZnS5 GGA-PBE optimized geometry
data_LiAc2ZnS5
_cell_length_a 8.843
_cell_length_b 8.843
_cell_length_c 11.581
_cell_angle_alpha 90.00
_cell_angle_beta 90.00
_cell_angle_gamma 153.04
_space_group_name_H-M_alt 'P 1'
_space_group_IT_number 1
_space_group_name_Hall 'P 1'
loop_
_atom_site_label
_atom_site_fract_x
_atom_site_fract_y
_atom_site_fract_z
Li1 0.212 0.788 0.500
Li2 0.788 0.212 0.000
Ac1 0.121 0.879 0.178
Ac2 0.129 0.871 0.795
Ac3 0.871 0.129 0.295
Ac4 0.879 0.121 0.678
Zn1 0.433 0.567 0.947
Zn2 0.567 0.433 0.447
S1 0.044 0.956 0.538
S2 0.296 0.704 0.148
S3 0.309 0.691 0.848
S4 0.356 0.644 0.491
S5 0.498 0.502 0.765
S6 0.502 0.498 0.265
S7 0.644 0.356 0.991
S8 0.691 0.309 0.348
S9 0.704 0.296 0.648
S10 0.956 0.044 0.038
# E_tot: -5.08 eV per atom
# raw formation energy: -146.6 kJ per mole of atoms

***

Entry 19:
# Cs2AgS GGA-PBE optimized geometry
data_Cs2AgS
_cell_length_a 13.479
_cell_length_b 13.479
_cell_length_c 4.914
_cell_angle_alpha 90.00
_cell_angle_beta 90.00
_cell_angle_gamma 90.00
_space_group_name_H-M_alt 'P 1'
_space_group_IT_number 1
_space_group_name_Hall 'P 1'
loop_
_atom_site_label
_atom_site_fract_x
_atom_site_fract_y
_atom_site_fract_z
Cs1 0.044 0.250 0.125
Cs2 0.250 0.544 0.375
Cs3 0.250 0.956 0.875
Cs4 0.456 0.250 0.625
Cs5 0.544 0.750 0.625
Cs6 0.750 0.044 0.875
Cs7 0.750 0.456 0.375
Cs8 0.956 0.750 0.125
Ag1 0.000 0.000 0.500
Ag2 0.000 0.500 0.750
Ag3 0.500 0.000 0.250
Ag4 0.500 0.500 0.000
S1 0.000 0.000 0.000
S2 0.000 0.500 0.250
S3 0.500 0.000 0.750
S4 0.500 0.500 0.500
# E_tot: -2.64 eV per atom
# raw formation energy: -45.5 kJ per mole of atoms

***

Entry 20:
# Sr3In5 GGA-PBE optimized geometry
data_Sr3In5
_cell_length_a 8.744
_cell_length_b 10.863
_cell_length_c 5.324
_cell_angle_alpha 90.00
_cell_angle_beta 90.00
_cell_angle_gamma 90.00
_space_group_name_H-M_alt 'P 1'
_space_group_IT_number 1
_space_group_name_Hall 'P 1'
loop_
_atom_site_label
_atom_site_fract_x
_atom_site_fract_y
_atom_site_fract_z
Sr1 0.000 0.000 0.000
Sr2 0.000 0.270 0.500
Sr3 0.000 0.730 0.500
Sr4 0.500 0.230 0.500
Sr5 0.500 0.500 0.000
Sr6 0.500 0.770 0.500
In1 0.000 0.500 0.000
In2 0.241 0.000 0.500
In3 0.250 0.250 0.000
In4 0.250 0.750 0.000
In5 0.259 0.500 0.500
In6 0.500 0.000 0.000
In7 0.741 0.500 0.500
In8 0.750 0.250 0.000
In9 0.750 0.750 0.000
In10 0.759 0.000 0.500
# E_tot: -2.67 eV per atom
# ΔE_f: -32 kJ/mol of atoms